First-principles (SCAN) data for a PBEsol-optimized structure of InAsW3, as listed in Alexandria via LeMat-Bulk.

The calculation puts the density at 12.76 g/cm3. The density of states at the Fermi level is 4.8 states/eV/f.u. The calculation puts the energy of formation at 1.539 eV/atom. The raw total energy comes out at -50.989 eV per atom.

It has space group Pm-3m (No. 221), with a = 4.586 Å, b = 4.586 Å, c = 4.586 Å, α = 90.00°, β = 90.00° and γ = 90.00°. Symmetry generates all atoms from In at (0.000, 0.000, 0.000), As at (0.500, 0.500, 0.500) and W at (0.000, 0.500, 0.500).